(1)
First-principles (GGA-PBE) data for a relaxed SrTa2Co crystal, as listed in Alexandria.

Computed properties:
Its energy above the most stable polymorph in this dataset is 0.698 eV/atom. The calculation puts the formation energy at 1.056 eV/atom. The total moment is 1.0 μB/f.u.

a b c (Å): 5.845 5.845 2.807
angles (deg): 90.00 90.00 124.32
Element x y z (fractional)
Sr1 0.000 0.000 0.000
Ta1 0.000 0.500 0.500
Ta2 0.500 0.000 0.500
Co1 0.500 0.500 0.000

---

(2)
First-principles (GGA-PBE) data for a relaxed Sr2TaCo crystal, as listed in Alexandria.

Computed properties:
Its energy above the most stable polymorph in this dataset is 0.824 eV/atom. The calculation puts the formation energy at 1.160 eV/atom. The total moment is 0.4 μB/f.u.

a b c (Å): 5.145 5.145 5.145
angles (deg): 60.00 60.00 60.00
Element x y z (fractional)
Sr1 0.000 0.000 0.000
Sr2 0.250 0.250 0.250
Ta1 0.500 0.500 0.500
Co1 0.750 0.750 0.750

---

Copy entry 1 word for word.
First-principles (GGA-PBE) data for a relaxed SrTa2Co crystal, as listed in Alexandria.

Computed properties:
Its energy above the most stable polymorph in this dataset is 0.698 eV/atom. The calculation puts the formation energy at 1.056 eV/atom. The total moment is 1.0 μB/f.u.

a b c (Å): 5.845 5.845 2.807
angles (deg): 90.00 90.00 124.32
Element x y z (fractional)
Sr1 0.000 0.000 0.000
Ta1 0.000 0.500 0.500
Ta2 0.500 0.000 0.500
Co1 0.500 0.500 0.000

---

Question: Number 2 is which compound?
Answer: Sr2TaCo

---

Please write out number 2 again, unchanged.
First-principles (GGA-PBE) data for a relaxed Sr2TaCo crystal, as listed in Alexandria.

Computed properties:
Its energy above the most stable polymorph in this dataset is 0.824 eV/atom. The calculation puts the formation energy at 1.160 eV/atom. The total moment is 0.4 μB/f.u.

a b c (Å): 5.145 5.145 5.145
angles (deg): 60.00 60.00 60.00
Element x y z (fractional)
Sr1 0.000 0.000 0.000
Sr2 0.250 0.250 0.250
Ta1 0.500 0.500 0.500
Co1 0.750 0.750 0.750